1.
First-principles (GGA-PBE) data for crystalline SmThAgRh at its relaxed geometry, as listed in Alexandria via LeMat-Bulk.

a b c (Å): 5.131 5.131 5.131
angles (deg): 60.00 60.00 60.00
Element x y z (fractional)
Sm: 0.000 0.000 0.000
Th: 0.500 0.500 0.500
Ag: 0.250 0.250 0.250
Rh: 0.750 0.750 0.750

Results
E_tot ... -6.00 eV per atom
Volume ... 23.877 Å³/atom

---

2.
First-principles (GGA-PBE) data for crystalline SmTlAgRh at its relaxed geometry, as listed in Alexandria via LeMat-Bulk.

a b c (Å): 4.927 4.927 4.927
angles (deg): 60.00 60.00 60.00
Element x y z (fractional)
Sm: 0.000 0.000 0.000
Tl: 0.500 0.500 0.500
Ag: 0.250 0.250 0.250
Rh: 0.750 0.750 0.750

Results
E_tot ... -4.58 eV per atom
Volume ... 21.144 Å³/atom

---

3.
First-principles (GGA-PBE) data for crystalline Sm2Zn5AgRh2 at its relaxed geometry, as listed in Alexandria via LeMat-Bulk.

a b c (Å): 9.681 9.681 3.965
angles (deg): 90.00 90.00 90.00
Element x y z (fractional)
Sm: 0.180 0.320 0.000
Sm: 0.320 0.820 0.000
Sm: 0.680 0.180 0.000
Sm: 0.820 0.680 0.000
Zn: 0.000 0.500 0.500
Zn: 0.056 0.797 0.500
Zn: 0.203 0.056 0.500
Zn: 0.297 0.556 0.500
Zn: 0.444 0.297 0.500
Zn: 0.500 0.000 0.500
Zn: 0.556 0.703 0.500
Zn: 0.703 0.444 0.500
Zn: 0.797 0.944 0.500
Zn: 0.944 0.203 0.500
Ag: 0.000 0.000 0.000
Ag: 0.500 0.500 0.000
Rh: 0.120 0.620 0.000
Rh: 0.380 0.120 0.000
Rh: 0.620 0.880 0.000
Rh: 0.880 0.380 0.000

Results
E_tot ... -3.71 eV per atom
Volume ... 18.582 Å³/atom

---

4.
First-principles (GGA-PBE) data for crystalline SmZrAgRh at its relaxed geometry, as listed in Alexandria via LeMat-Bulk.

a b c (Å): 4.924 4.924 4.924
angles (deg): 60.00 60.00 60.00
Element x y z (fractional)
Sm: 0.000 0.000 0.000
Zr: 0.500 0.500 0.500
Ag: 0.250 0.250 0.250
Rh: 0.750 0.750 0.750

Results
E_tot ... -6.20 eV per atom
Volume ... 21.109 Å³/atom

---

Taking the records one at a time from the top gives formation energy from the elements values of -413; -262; -373; -334 meV per atom.